DFT (PBE+U) results for Pm3VAg3O8 after structural relaxation.

Properties
The total energy comes out at -100.49 eV/cell. Its space group is No. 12. The total magnetization comes out at 0.065 μB per atom. Its crystal system is monoclinic.

Geometry as POSCAR:
```
Pm3VAg3O8
1.0
-0.2753 -1.8244 -6.8711
-1.3699 -4.6980 4.9856
-4.2255 8.4718 -2.0801
Pm Ag O V
3 3 8 1
Direct
0.0000 0.5000 0.5000 Pm
0.5000 0.5000 0.5000 Pm
0.5000 0.0000 0.5000 Pm
0.0000 0.5000 0.0000 Ag
0.5000 0.5000 0.0000 Ag
0.0000 0.0000 0.0000 Ag
0.7402 0.9371 0.3298 O
0.2257 0.4513 0.3275 O
0.7746 0.5491 0.3572 O
0.8031 0.0629 0.6702 O
0.2254 0.4509 0.6428 O
0.1969 0.9371 0.3298 O
0.2598 0.0629 0.6702 O
0.7743 0.5487 0.6725 O
0.0000 0.0000 0.5000 V
```